A relaxed AcTb4Pm8 crystal, computed with PBE-GGA.

Summary:
Energy of formation from the pure elements (kJ/mol of formula units): 295
Symmetry: R-3m (166)
Calculated density (g cm⁻³): 7.3

POSCAR file:
```
AcTb4Pm8
1.0
-1.722 6.613 -2.874
-4.516 -5.785 -1.045
-2.106 -0.219 10.319
Ac Tb Pm
1 4 8
direct
0.000 0.500 0.500
0.000 0.000 0.000
0.000 0.500 0.000
0.500 0.500 0.000
0.500 0.000 0.000
0.573 0.786 0.359
0.427 0.214 0.641
0.487 0.243 0.288
0.955 0.199 0.712
0.513 0.757 0.712
0.955 0.757 0.712
0.045 0.243 0.288
0.045 0.801 0.288
```

=====

A relaxed AcTb4Pm4 crystal, computed with PBE-GGA.

Summary:
Energy of formation from the pure elements (kJ/mol of formula units): 25
Symmetry: I4/mmm (139)
Calculated density (g cm⁻³): 7.8

POSCAR file:
```
AcTb4Pm4
1.0
5.148 0.000 0.000
2.574 7.743 0.000
2.574 0.000 7.743
Ac Tb Pm
1 4 4
direct
0.000 0.000 0.000
0.670 0.660 0.000
0.330 0.340 0.000
0.670 0.000 0.660
0.330 0.000 0.340
0.666 0.334 0.335
0.334 0.666 0.665
0.000 0.665 0.334
0.000 0.335 0.666
```

=====

A relaxed AcTb2Pm12 crystal, computed with PBE-GGA.

Summary:
Energy of formation from the pure elements (kJ/mol of formula units): 153
Symmetry: C2/m (12)
Calculated density (g cm⁻³): 7.2

POSCAR file:
```
AcTb2Pm12
1.0
6.644 1.511 -0.398
1.511 6.644 0.398
-1.933 1.933 25.398
Ac Tb Pm
2 4 24
direct
0.504 0.996 0.005
0.996 0.504 0.995
0.449 0.051 0.275
0.965 0.535 0.277
0.051 0.449 0.725
0.535 0.965 0.723
0.588 0.394 0.796
0.106 0.912 0.796
0.887 0.613 0.851
0.442 0.558 0.924
0.989 0.995 0.330
0.058 0.942 0.076
0.659 0.320 0.555
0.505 0.511 0.330
0.397 0.103 0.863
0.613 0.887 0.149
0.176 0.324 0.576
0.841 0.180 0.445
0.995 0.989 0.670
0.324 0.176 0.424
0.103 0.397 0.137
0.803 0.697 0.426
0.697 0.803 0.574
0.912 0.106 0.204
0.180 0.841 0.555
0.511 0.505 0.670
0.942 0.058 0.924
0.394 0.588 0.204
0.320 0.659 0.445
0.558 0.442 0.076
```

=====

A relaxed Ac2Tb7Pm4 crystal, computed with PBE-GGA.

Summary:
Energy of formation from the pure elements (kJ/mol of formula units): 239
Symmetry: P-31m (162)
Calculated density (g cm⁻³): 7.8

POSCAR file:
```
Ac2Tb7Pm4
1.0
6.245 0.000 0.000
-3.123 5.409 0.000
0.000 0.000 13.538
Ac Tb Pm
2 7 4
direct
0.667 0.333 0.000
0.333 0.667 0.000
0.000 0.644 0.781
0.000 0.356 0.219
0.000 0.000 0.000
0.644 0.000 0.781
0.356 0.000 0.219
0.644 0.644 0.219
0.356 0.356 0.781
0.000 0.000 0.606
0.000 0.000 0.394
0.667 0.333 0.500
0.333 0.667 0.500
```

=====

A relaxed AcTb2Pm8 crystal, computed with PBE-GGA.

Summary:
Energy of formation from the pure elements (kJ/mol of formula units): 26
Offset from the most stable computed form (eV per formula unit): 0.00
Symmetry: C2/m (12)
Calculated density (g cm⁻³): 7.4

POSCAR file:
```
AcTb2Pm8
1.0
-1.972 1.880 4.406
-6.996 -4.050 -1.402
6.313 -6.841 2.699
Ac Tb Pm
1 2 8
direct
0.500 0.000 0.000
0.772 0.364 0.543
0.228 0.636 0.457
0.407 0.539 0.814
0.683 0.909 0.367
0.860 0.811 0.721
0.953 0.277 0.906
0.140 0.189 0.279
0.317 0.091 0.633
0.593 0.461 0.186
0.047 0.723 0.094
```

=====

A relaxed Ac6TbPm3 crystal, computed with PBE-GGA.

Summary:
Energy of formation from the pure elements (kJ/mol of formula units): 34
Symmetry: P-1 (2)
Calculated density (g cm⁻³): 8.1

POSCAR file:
```
Ac6TbPm3
1.0
3.858 0.002 -0.408
0.023 6.671 0.237
-0.565 0.934 31.340
Ac Tb Pm
12 2 6
direct
0.403 0.865 0.903
0.598 0.804 0.598
0.204 0.272 0.202
0.796 0.728 0.798
0.402 0.196 0.402
0.597 0.135 0.097
0.905 0.691 0.404
0.097 0.636 0.098
0.701 0.108 0.700
0.299 0.892 0.300
0.903 0.364 0.902
0.095 0.309 0.596
0.500 0.500 0.500
0.000 0.000 0.000
0.300 0.234 0.800
0.500 0.500 0.000
0.700 0.766 0.200
0.802 0.398 0.302
0.000 0.000 0.500
0.198 0.602 0.698
```

=====

A relaxed Ac9Tb2Pm crystal, computed with PBE-GGA.

Summary:
Energy of formation from the pure elements (kJ/mol of formula units): 35
Symmetry: P4/mmm (123)
Calculated density (g cm⁻³): 8.3

POSCAR file:
```
Ac9Tb2Pm
1.0
5.502 0.000 0.000
0.000 5.502 0.000
0.000 0.000 16.509
Ac Tb Pm
9 2 1
direct
0.500 0.500 0.000
0.500 0.500 0.334
0.500 0.500 0.666
0.500 0.000 0.168
0.500 0.000 0.500
0.500 0.000 0.832
0.000 0.500 0.168
0.000 0.500 0.500
0.000 0.500 0.832
0.000 0.000 0.334
0.000 0.000 0.666
0.000 0.000 0.000
```

=====

A relaxed Ac3TbPm6 crystal, computed with PBE-GGA.

Summary:
Energy of formation from the pure elements (kJ/mol of formula units): 347
Symmetry: R-3 (148)
Calculated density (g cm⁻³): 7.4

POSCAR file:
```
Ac3TbPm6
1.0
8.994 0.000 4.773
3.231 8.394 4.773
2.155 1.480 6.800
Ac Tb Pm
3 1 6
direct
0.350 0.350 0.950
0.608 0.608 0.176
0.092 0.092 0.725
0.850 0.850 0.450
0.926 0.600 0.220
0.254 0.926 0.220
0.600 0.254 0.220
0.100 0.446 0.680
0.774 0.100 0.680
0.446 0.774 0.680
```

=====

A relaxed AcTb12Pm7 crystal, computed with PBE-GGA.

Summary:
Energy of formation from the pure elements (kJ/mol of formula units): 437
Offset from the most stable computed form (eV per formula unit): 0.00
Symmetry: R-3 (148)
Calculated density (g cm⁻³): 7.6

POSCAR file:
```
AcTb12Pm7
1.0
0.284 -8.574 2.149
8.711 0.149 1.519
-1.022 1.611 8.635
Ac Tb Pm
1 12 7
direct
0.000 0.000 0.000
0.849 0.268 0.720
0.732 0.280 0.151
0.624 0.131 0.494
0.869 0.506 0.376
0.280 0.151 0.732
0.506 0.376 0.869
0.494 0.624 0.131
0.720 0.849 0.268
0.131 0.494 0.624
0.376 0.869 0.506
0.268 0.720 0.849
0.151 0.732 0.280
0.844 0.603 0.932
0.397 0.068 0.156
0.068 0.156 0.397
0.500 0.500 0.500
0.932 0.844 0.603
0.603 0.932 0.844
0.156 0.397 0.068
```

=====

A relaxed AcTb3Pm4 crystal, computed with PBE-GGA.

Summary:
Energy of formation from the pure elements (kJ/mol of formula units): 56
Offset from the most stable computed form (eV per formula unit): 0.00
Symmetry: Pmm2 (25)
Calculated density (g cm⁻³): 7.7

POSCAR file:
```
AcTb3Pm4
1.0
-1.979 -0.529 -2.949
3.410 -4.276 -1.521
-7.915 -8.760 6.882
Ac Tb Pm
1 3 4
direct
0.500 0.500 0.065
0.000 0.500 0.563
0.000 0.000 0.440
0.500 0.000 0.929
0.500 0.500 0.332
0.000 0.500 0.815
0.000 0.000 0.185
0.500 0.000 0.672
```

=====

A relaxed Ac12TbPm5 crystal, computed with PBE-GGA.

Summary:
Energy of formation from the pure elements (kJ/mol of formula units): 59
Symmetry: C2/m (12)
Calculated density (g cm⁻³): 8.1

POSCAR file:
```
Ac12TbPm5
1.0
5.853 3.372 0.197
-5.853 3.372 0.197
0.000 1.145 18.918
Ac Tb Pm
12 1 5
direct
0.112 0.112 0.663
0.888 0.888 0.337
0.279 0.279 0.162
0.721 0.721 0.838
0.615 0.947 0.162
0.053 0.385 0.838
0.947 0.615 0.162
0.385 0.053 0.838
0.555 0.221 0.337
0.221 0.555 0.337
0.779 0.445 0.663
0.445 0.779 0.663
0.000 0.000 0.000
0.500 0.500 0.500
0.833 0.167 0.500
0.167 0.833 0.500
0.333 0.667 0.000
0.667 0.333 0.000
```

=====

A relaxed Ac6Tb2Pm3 crystal, computed with PBE-GGA.

Summary:
Energy of formation from the pure elements (kJ/mol of formula units): 51
Symmetry: P-1 (2)
Calculated density (g cm⁻³): 8.1

POSCAR file:
```
Ac6Tb2Pm3
1.0
-5.388 2.766 -2.658
-2.051 1.260 8.209
-6.617 12.385 7.103
Ac Tb Pm
6 2 3
direct
0.087 0.635 0.734
0.735 0.085 0.819
0.913 0.365 0.266
0.265 0.915 0.181
0.814 0.718 0.549
0.186 0.282 0.451
0.646 0.460 0.087
0.354 0.540 0.913
0.000 0.000 0.000
0.551 0.829 0.356
0.449 0.171 0.644
```

=====

A relaxed Ac3TbPm3 crystal, computed with PBE-GGA.

Summary:
Energy of formation from the pure elements (kJ/mol of formula units): 73
Symmetry: C2/m (12)
Calculated density (g cm⁻³): 7.7

POSCAR file:
```
Ac3TbPm3
1.0
-2.533 -2.236 6.122
4.255 -5.454 -1.022
8.360 5.197 5.603
Ac Tb Pm
6 2 6
direct
0.669 0.669 0.081
0.878 0.511 0.749
0.511 0.878 0.749
0.122 0.489 0.251
0.489 0.122 0.251
0.331 0.331 0.919
0.029 0.029 0.745
0.971 0.971 0.255
0.679 0.679 0.443
0.186 0.814 0.500
0.814 0.186 0.500
0.177 0.823 0.000
0.823 0.177 0.000
0.321 0.321 0.557
```

=====

A relaxed Ac2Tb12Pm5 crystal, computed with PBE-GGA.

Summary:
Energy of formation from the pure elements (kJ/mol of formula units): 346
Offset from the most stable computed form (eV per formula unit): 0.67
Symmetry: P-1 (2)
Calculated density (g cm⁻³): 7.7

POSCAR file:
```
Ac2Tb12Pm5
1.0
6.993 0.822 0.019
-2.672 8.645 -8.333
0.019 -3.601 14.019
Ac Tb Pm
2 12 5
direct
0.726 0.883 0.930
0.274 0.117 0.070
0.010 0.055 0.269
0.136 0.572 0.947
0.658 0.632 0.008
0.155 0.622 0.376
0.632 0.648 0.372
0.505 0.965 0.767
0.495 0.035 0.233
0.845 0.378 0.624
0.368 0.352 0.628
0.864 0.428 0.053
0.342 0.368 0.992
0.990 0.945 0.731
0.254 0.551 0.570
0.434 0.862 0.320
0.000 0.000 0.500
0.566 0.138 0.680
0.746 0.449 0.430
```

=====

A relaxed Ac8Tb2Pm crystal, computed with PBE-GGA.

Summary:
Energy of formation from the pure elements (kJ/mol of formula units): 378
Symmetry: C2/m (12)
Calculated density (g cm⁻³): 7.5

POSCAR file:
```
Ac8Tb2Pm
1.0
-2.597 -1.435 -5.485
-4.628 -7.448 2.445
-7.967 4.300 0.953
Ac Tb Pm
8 2 1
direct
0.809 0.142 0.635
0.191 0.365 0.858
0.495 0.143 0.143
0.505 0.857 0.857
0.809 0.635 0.142
0.191 0.858 0.365
0.293 0.420 0.420
0.707 0.580 0.580
0.919 0.262 0.262
0.081 0.738 0.738
0.000 0.000 0.000
```

=====

A relaxed Ac5Tb2Pm2 crystal, computed with PBE-GGA.

Summary:
Energy of formation from the pure elements (kJ/mol of formula units): 45
Symmetry: P-1 (2)
Calculated density (g cm⁻³): 8.2

POSCAR file:
```
Ac5Tb2Pm2
1.0
-4.426 1.577 4.617
3.312 0.008 10.968
2.858 5.372 7.097
Ac Tb Pm
5 2 2
direct
0.993 0.665 0.667
0.663 0.891 0.883
0.337 0.109 0.117
0.007 0.335 0.333
0.000 0.000 0.000
0.341 0.770 0.781
0.659 0.230 0.219
0.662 0.550 0.565
0.338 0.450 0.435
```

=====

A relaxed Ac3Tb2Pm2 crystal, computed with PBE-GGA.

Summary:
Energy of formation from the pure elements (kJ/mol of formula units): 38
Symmetry: Cmmm (65)
Calculated density (g cm⁻³): 8.0

POSCAR file:
```
Ac3Tb2Pm2
1.0
-4.049 -3.113 -2.423
2.466 -1.241 -2.527
0.866 -11.197 6.344
Ac Tb Pm
3 2 2
direct
0.847 0.000 0.306
0.000 0.000 0.000
0.153 0.000 0.694
0.715 0.500 0.570
0.285 0.500 0.430
0.573 0.500 0.854
0.427 0.500 0.146
```

=====

A relaxed Ac5Tb4Pm2 crystal, computed with PBE-GGA.

Summary:
Energy of formation from the pure elements (kJ/mol of formula units): 132
Symmetry: C2/m (12)
Calculated density (g cm⁻³): 8.0

POSCAR file:
```
Ac5Tb4Pm2
1.0
-1.230 2.816 -2.165
-1.966 -5.898 -6.556
-9.306 2.243 11.467
Ac Tb Pm
5 4 2
direct
0.182 0.887 0.363
0.818 0.113 0.637
0.134 0.221 0.268
0.500 0.000 0.000
0.866 0.779 0.732
0.726 0.622 0.452
0.037 0.725 0.074
0.274 0.378 0.548
0.963 0.275 0.926
0.585 0.481 0.170
0.415 0.519 0.830
```

=====

A relaxed AcTb6Pm crystal, computed with PBE-GGA.

Summary:
Energy of formation from the pure elements (kJ/mol of formula units): 303
Offset from the most stable computed form (eV per formula unit): 2.85
Symmetry: C2/m (12)
Calculated density (g cm⁻³): 7.4

POSCAR file:
```
AcTb6Pm
1.0
-3.001 0.926 5.108
-5.862 0.069 -1.258
-2.218 -8.410 2.128
Ac Tb Pm
1 6 1
direct
0.000 0.000 0.000
0.481 0.957 0.700
0.957 0.481 0.700
0.043 0.519 0.300
0.519 0.043 0.300
0.623 0.623 0.080
0.377 0.377 0.920
0.500 0.500 0.500
```

=====

Quick rundown of Fermi-level density of states, same order as above: 13.10, 13.24, 22.46, 19.53, 17.33, 15.74, 18.50, 25.08, 36.37, 11.56, 26.77, 18.22, 11.00, 26.24, 16.47, 14.76, 11.29, 17.76, 15.60 states/eV/f.u.